[1]
DFT (PBE-GGA) results for a geometry-optimized KLiSe2 structure.

a b c (Å): 3.237 3.237 8.557
angles (deg): 90.00 90.00 90.12
Sites, in units of the cell vectors:
K 0.000 0.000 0.000
Li 0.000 0.000 0.500
Se 0.500 0.500 0.285
Se 0.500 0.500 0.715

Calculated values
Energy relative to the elements, uncorrected in eV per atom: -0.68
D(E_F) in states/eV per atom: 0.412
E in eV/atom: -3.17



[2]
DFT (PBE-GGA) results for a geometry-optimized TaZnTe2 structure.

a b c (Å): 4.992 4.992 4.992
angles (deg): 60.00 60.00 60.00
Sites, in units of the cell vectors:
Ta 0.000 0.000 0.000
Zn 0.250 0.250 0.250
Te 0.500 0.500 0.500
Te 0.750 0.750 0.750

Calculated values
Energy relative to the elements, uncorrected in eV per atom: 0.72
D(E_F) in states/eV per atom: 1.127
E in eV/atom: -4.14



[3]
DFT (PBE-GGA) results for a geometry-optimized Mg2Mn2H structure.

a b c (Å): 6.641 6.641 6.641
angles (deg): 147.89 147.89 46.04
Sites, in units of the cell vectors:
Mg 0.250 0.750 0.500
Mg 0.750 0.250 0.500
Mn 0.075 0.075 0.000
Mn 0.925 0.925 0.000
H 0.500 0.500 0.000

Calculated values
Offset from the most stable computed form in kJ per mole of atoms: 106.1
D(E_F) in states/eV per atom: 1.945
E in eV/atom: -3.53